1.
The following is a GGA+U calculation of a relaxed CrPO4 crystal, from the Alexandria database.

Output
M_tot = 0.500 μB per atom

The structure in CIF format:
```
data_CrPO4
_chemical_formula_sum 'Cr12 P12 O48'
_cell_length_a 10.5873
_cell_length_b 13.1726
_cell_length_c 6.4046
_cell_angle_alpha 90.00
_cell_angle_beta 90.00
_cell_angle_gamma 90.00
_symmetry_space_group_name_H-M 'I m m a'
_symmetry_Int_Tables_number 74
_symmetry_space_group_name_Hall '-I 2b 2'
loop_
_atom_site_label
_atom_site_type_symbol
_atom_site_fract_x
_atom_site_fract_y
_atom_site_fract_z
_atom_site_occupancy
Cr1 Cr 0.0000 0.0000 0.0000 1
Cr2 Cr 0.2500 0.1332 0.2500 1
P1 P 0.0000 0.2500 0.0864 1
P2 P 0.2500 0.0736 0.7500 1
O1 O 0.0000 0.1513 0.9620 1
O2 O 0.1226 0.2500 0.2294 1
O3 O 0.1391 0.0084 0.2160 1
O4 O 0.2242 0.1360 0.5570 1
```

2.
The following is a GGA+U calculation of a relaxed CrPO4 crystal, from the Alexandria database.

Output
M_tot = 0.500 μB per atom

The structure in CIF format:
```
data_CrPO4
_chemical_formula_sum 'Cr4 P4 O16'
_cell_length_a 5.2225
_cell_length_b 7.9104
_cell_length_c 6.3135
_cell_angle_alpha 90.00
_cell_angle_beta 90.00
_cell_angle_gamma 90.00
_symmetry_space_group_name_H-M 'C m c m'
_symmetry_Int_Tables_number 63
_symmetry_space_group_name_Hall '-C 2c 2'
loop_
_atom_site_label
_atom_site_type_symbol
_atom_site_fract_x
_atom_site_fract_y
_atom_site_fract_z
_atom_site_occupancy
Cr1 Cr 0.0000 0.0000 0.0000 1
P1 P 0.0000 0.3478 0.2500 1
O1 O 0.0000 0.2456 0.0467 1
O2 O 0.2456 0.4674 0.2500 1
```

3.
The following is a GGA+U calculation of a relaxed PaCr2PO8 crystal, from the Alexandria database.

Output
M_tot = 0.500 μB per atom

The structure in CIF format:
```
data_PaCr2PO8
_chemical_formula_sum 'Pa1 Cr2 P1 O8'
_cell_length_a 5.0304
_cell_length_b 5.0304
_cell_length_c 5.7979
_cell_angle_alpha 90.00
_cell_angle_beta 90.00
_cell_angle_gamma 120.00
_symmetry_space_group_name_H-M 'P -3 m 1'
_symmetry_Int_Tables_number 164
_symmetry_space_group_name_Hall '-P 3 2"'
loop_
_atom_site_label
_atom_site_type_symbol
_atom_site_fract_x
_atom_site_fract_y
_atom_site_fract_z
_atom_site_occupancy
Pa1 Pa 0.0000 0.0000 0.0000 1
Cr1 Cr 0.3333 0.6667 0.3883 1
P1 P 0.0000 0.0000 0.5000 1
O1 O 0.1572 0.3143 0.6718 1
O2 O 0.3333 0.6667 0.0837 1
```

4.
The following is a GGA+U calculation of a relaxed CrP2PbO8 crystal, from the Alexandria database.

Output
M_tot = 0.165 μB per atom

The structure in CIF format:
```
data_CrP2PbO8
_chemical_formula_sum 'Cr3 P6 Pb3 O24'
_cell_length_a 4.7895
_cell_length_b 4.7895
_cell_length_c 22.4256
_cell_angle_alpha 90.00
_cell_angle_beta 90.00
_cell_angle_gamma 120.00
_symmetry_space_group_name_H-M 'R -3'
_symmetry_Int_Tables_number 148
_symmetry_space_group_name_Hall '-R 3'
loop_
_atom_site_label
_atom_site_type_symbol
_atom_site_fract_x
_atom_site_fract_y
_atom_site_fract_z
_atom_site_occupancy
Cr1 Cr 0.0000 0.0000 0.0000 1
P1 P 0.0000 0.0000 0.2605 1
Pb1 Pb 0.0000 0.0000 0.5000 1
O1 O 0.0000 0.0000 0.1918 1
O2 O 0.0108 0.6366 0.3846 1
```

5.
The following is a GGA+U calculation of a relaxed Cr2P4Pb3O16 crystal, from the Alexandria database.

Output
M_tot = 0.238 μB per atom

The structure in CIF format:
```
data_Cr2P4Pb3O16
_chemical_formula_sum 'Cr8 P16 Pb12 O64'
_cell_length_a 9.1216
_cell_length_b 9.1216
_cell_length_c 16.8045
_cell_angle_alpha 90.00
_cell_angle_beta 90.00
_cell_angle_gamma 90.00
_symmetry_space_group_name_H-M 'P 41 21 2'
_symmetry_Int_Tables_number 92
loop_
_symmetry_equiv_pos_as_xyz
'x,y,z'
'-y+1/2,x+1/2,z+1/4'
'-x,-y,z+1/2'
'y+1/2,-x+1/2,z+3/4'
'x+1/2,-y+1/2,-z+3/4'
'-y,-x,-z+1/2'
'-x+1/2,y+1/2,-z+1/4'
'y,x,-z'
loop_
_atom_site_label
_atom_site_type_symbol
_atom_site_fract_x
_atom_site_fract_y
_atom_site_fract_z
_atom_site_occupancy
Cr1 Cr 0.0007 0.2353 0.1288 1
P1 P 0.0056 0.7252 0.8286 1
P2 P 0.0437 0.7738 0.4301 1
Pb1 Pb 0.0780 0.3450 0.7660 1
Pb2 Pb 0.1350 0.1350 0.5000 1
O1 O 0.0156 0.2712 0.0119 1
O2 O 0.0455 0.2143 0.2472 1
O3 O 0.0737 0.8506 0.8799 1
O4 O 0.0830 0.1642 0.8771 1
O5 O 0.0880 0.6347 0.3812 1
O6 O 0.0974 0.3843 0.5671 1
O7 O 0.1185 0.8265 0.0644 1
O8 O 0.1252 0.3273 0.3821 1
```

6.
The following is a GGA+U calculation of a relaxed CrPPbO2 crystal, from the Alexandria database.

Output
E above lowest polymorph = 0.00 eV/f.u.
M_tot = 0.407 μB per atom

The structure in CIF format:
```
data_CrPPbO2
_chemical_formula_sum 'Cr1 P1 Pb1 O2'
_cell_length_a 3.8706
_cell_length_b 3.8706
_cell_length_c 5.0359
_cell_angle_alpha 90.00
_cell_angle_beta 90.00
_cell_angle_gamma 90.00
_symmetry_space_group_name_H-M 'P 4/m m m'
_symmetry_Int_Tables_number 123
_symmetry_space_group_name_Hall '-P 4 2'
loop_
_atom_site_label
_atom_site_type_symbol
_atom_site_fract_x
_atom_site_fract_y
_atom_site_fract_z
_atom_site_occupancy
Cr1 Cr 0.0000 0.0000 0.0000 1
P1 P 0.0000 0.0000 0.5000 1
Pb1 Pb 0.5000 0.5000 0.5000 1
O1 O 0.0000 0.5000 0.0000 1
```

no.,electronic total energy (eV per atom)
1,-7.595
2,-7.577
3,-7.567
4,-7.052
5,-7.126
6,-5.882